ZnAuN2 after structural relaxation, computed with PBE.

Values from the calculation:
E_form (uncorrected) = 4.50 eV/f.u.

Cell: 4.6434 4.6434 10.1246 Å, 90.00 90.00 90.00°
Space group I-42d (No. 122)
Asymmetric unit:
1 Zn 0.0000 0.0000 0.0000
2 Au 0.0000 0.0000 0.5000
3 N 0.2359 0.2500 0.1250


AgRh2F8 after structural relaxation, computed with PBE.

Values from the calculation:
E_form (uncorrected) = -14.11 eV/f.u.

Cell: 4.2443 6.3828 6.3915 Å, 69.12 89.57 89.66°
Space group P-1 (No. 2)
Asymmetric unit:
1 Ag 0.0000 0.0000 0.0000
2 Rh 0.2485 0.3841 0.3834
3 F 0.2468 0.2039 0.2007
4 F 0.2521 0.5859 0.5871
5 F 0.2555 0.1199 0.6560
6 F 0.2584 0.6586 0.1212


PrYPb2 after structural relaxation, computed with PBE.

Values from the calculation:
energy of formation = -493 meV/atom

Cell: 3.5983 3.5983 9.1194 Å, 90.00 90.00 90.00°
Space group P4/mmm (No. 123)
Asymmetric unit:
1 Pr 0.0000 0.0000 0.0000
2 Y 0.0000 0.0000 0.5000
3 Pb 0.5000 0.5000 0.2589


Sc3TaMn after structural relaxation, computed with PBE.

Values from the calculation:
energy of formation = 657 meV/atom

Cell: 4.7327 4.7327 4.7327 Å, 90.00 90.00 90.00°
Space group Pm-3m (No. 221)
Asymmetric unit:
1 Sc 0.0000 0.0000 0.5000
2 Ta 0.5000 0.5000 0.5000
3 Mn 0.0000 0.0000 0.0000


Rb3TbAg2I8 after structural relaxation, computed with PBE.

Values from the calculation:
E_form (uncorrected) = -14.68 eV/f.u.

Cell: 8.5425 8.5425 10.6656 Å, 90.00 90.00 120.00°
Space group P-3m1 (No. 164)
Asymmetric unit:
1 Rb 0.0000 0.0000 0.0000
2 Rb 0.3333 0.6667 0.6068
3 Tb 0.0000 0.0000 0.5000
4 Ag 0.3333 0.6667 0.1860
5 I 0.1638 0.3276 0.3287
6 I 0.3333 0.6667 0.9345


AcCePm4 after structural relaxation, computed with PBE.

Values from the calculation:
energy of formation = 298 meV/atom

Cell: 9.5764 9.5764 9.5764 Å, 90.00 90.00 90.00°
Space group F-43m (No. 216)
Asymmetric unit:
1 Ac 0.0000 0.0000 0.0000
2 Ce 0.2500 0.2500 0.2500
3 Pm 0.1242 0.1242 0.6242


NaSmPd4 after structural relaxation, computed with PBE.

Values from the calculation:
energy of formation = -560 meV/atom

Cell: 7.6739 7.6739 7.6739 Å, 90.00 90.00 90.00°
Space group F-43m (No. 216)
Asymmetric unit:
1 Na 0.0000 0.0000 0.0000
2 Sm 0.2500 0.2500 0.2500
3 Pd 0.1251 0.1251 0.6251


AcPa4Mo3N12 after structural relaxation, computed with PBE.

Values from the calculation:
E_form (uncorrected) = -16.05 eV/f.u.

Cell: 8.3024 8.3024 8.3024 Å, 90.00 90.00 90.00°
Space group Im-3 (No. 204)
Asymmetric unit:
1 Ac 0.0000 0.0000 0.0000
2 Pa 0.2500 0.2500 0.2500
3 Mo 0.0000 0.0000 0.5000
4 N 0.0000 0.3189 0.1608


Calculated magnetization, 0.00, 0.16, 0.00, 0.14, 0.00, 0.36, 0.00, 0.00 μB per atom (same order as the records).